[1]
## TbCe2NpN4 (PBE-GGA)

Data for crystalline TbCe2NpN4 at its relaxed geometry.

Cell: 3.519 6.072 6.113 Å, 109.29 90.00 90.00°
Last column: magnetic moment on the atom in μB.
Element x y z (fractional)
Tb1 0.500 0.500 0.000  0.08
Ce1 0.500 0.000 0.500  0.36
Ce2 0.000 0.500 0.500  0.57
Np1 0.000 0.000 0.000  3.04
N1 0.500 0.237 0.233  -0.10
N2 0.500 0.763 0.767  -0.10
N3 0.000 0.241 0.762  -0.07
N4 0.000 0.759 0.238  -0.07

raw formation energy	-11.50	eV/f.u.
magnetization	4.1	Bohr magnetons per cell

[2]
## YTaSe3 (PBE-GGA)

Data for crystalline YTaSe3 at its relaxed geometry.

Cell: 5.011 5.011 5.011 Å, 90.00 90.00 90.00°
Element x y z (fractional)
Y1 0.500 0.500 0.500
Se1 0.000 0.500 0.000
Se2 0.000 0.000 0.500
Se3 0.500 0.000 0.000
Ta1 0.000 0.000 0.000

energy above the lowest structure with this stoichiometry	0	meV per atom
raw formation energy	-2.87	eV/f.u.
magnetization	0.0	Bohr magnetons per cell